First-principles (GGA-PBE) data for an optimized crystal structure of SmScAl, as listed in Alexandria via LeMat-Bulk.

Values from the calculation:
Excess energy over the best structure of this formula in the dataset: 0.000 eV/f.u.
Calculated formation energy: -0.27 eV/atom
Crystal system: hexagonal

Structure (CIF):
```
data_SmScAl
_chemical_formula_sum 'Sm2 Sc2 Al2'
_symmetry_space_group_name_H-M 'P 1'
_symmetry_Int_Tables_number 1
_cell_length_a 5.1037
_cell_length_b 5.1037
_cell_length_c 6.5540
_cell_angle_alpha 90.00
_cell_angle_beta 90.00
_cell_angle_gamma 119.99
loop_
_symmetry_equiv_pos_as_xyz
'x,y,z'
loop_
_atom_site_label
_atom_site_type_symbol
_atom_site_fract_x
_atom_site_fract_y
_atom_site_fract_z
Sc1 Sc 0.6666 0.8334 0.7500
Sc2 Sc 0.3334 0.1666 0.2500
Sm1 Sm 0.0000 0.5000 0.0000
Sm2 Sm 0.0000 0.5000 0.5000
Al1 Al 0.6668 0.8332 0.2500
Al2 Al 0.3332 0.1668 0.7500
```